Entry from the Alexandria database: crystalline NbCr2S at its relaxed geometry (PBE-GGA).

Values from the calculation:
Fermi-level density of states, states/eV/cell: 12.03
Raw formation energy, eV/atom: 0.207
M_tot, Bohr magnetons per cell: 4.5
Total energy, eV/cell: -65.23

a b c (Å): 5.5020 5.5020 5.5020
angles (deg): 101.47 101.47 127.03
Element x y z (fractional)
Nb 0.0000 0.0000 0.0000
Nb 0.7500 0.2500 0.5000
Cr 0.2120 0.6250 0.0870
Cr 0.3750 0.4620 0.5870
Cr 0.5380 0.1250 0.9130
Cr 0.8750 0.7880 0.4130
S 0.2500 0.7500 0.5000
S 0.5000 0.5000 0.0000

Entry from the Alexandria database: crystalline Nb3CrS at its relaxed geometry (PBE-GGA).

Values from the calculation:
Fermi-level density of states, states/eV/cell: 8.54
Raw formation energy, eV/atom: 0.526
M_tot, Bohr magnetons per cell: 0.0
Polymorph energy (0 for the lowest one), eV per atom: 0.000
Total energy, eV/cell: -41.33

a b c (Å): 4.5326 4.5326 4.5326
angles (deg): 90.00 90.00 90.00
Element x y z (fractional)
Nb 0.0000 0.0000 0.5000
Nb 0.0000 0.5000 0.0000
Nb 0.5000 0.0000 0.0000
Cr 0.5000 0.5000 0.5000
S 0.0000 0.0000 0.0000

Question: What is the total energy in the first record?
Answer: -65.23 eV/cell